[1]
Entry from the Alexandria database: a geometry-optimized Rb2BeInBr6 structure (GGA-PBE).

Cell: 7.6161 7.6161 7.6161 Å, 120.18 120.18 89.68°
Last column: nearest neighbours and their distance in Å.
Sites, in units of the cell vectors:
1 Rb 0.2500 0.7500 0.5000  12 Br 3.80-3.81
2 Rb 0.7500 0.2500 0.5000  12 Br 3.80-3.81
3 Be 0.0000 0.0000 0.0000  6 Br 2.49-2.52
4 In 0.5000 0.5000 0.0000  6 Br 2.88
5 Br 0.2319 0.2319 0.4637  1 Be 2.49
6 Br 0.2319 0.7681 0.0000  1 Be 2.49
7 Br 0.2333 0.2333 0.0000  1 Be 2.52
8 Br 0.7667 0.7667 0.0000  1 Be 2.52
9 Br 0.7681 0.2319 0.0000  1 Be 2.49
10 Br 0.7681 0.7681 0.5363  1 Be 2.49

Calculated values
Total energy: -2.93 eV/atom
Formation energy (no corrections): -1.086 eV/atom
Density: 4.1 Mg/m³
SG: No. 139
Density of states at the Fermi level: 1.96 states/eV/cell

[2]
Entry from the Alexandria database: a geometry-optimized U3BC3 structure (GGA-PBE).

Cell: 6.4202 5.0798 6.7660 Å, 90.00 118.31 90.00°
Last column: nearest neighbours and their distance in Å.
Sites, in units of the cell vectors:
1 U 0.1159 0.2500 0.4104  5 C 2.28-2.54
2 U 0.2329 0.7500 0.1208  3 C 2.25-2.42
3 U 0.3600 0.7500 0.8107  5 C 2.44-2.62, 2 U 2.59-2.69
4 U 0.6400 0.2500 0.1893  5 C 2.44-2.62, 2 U 2.59-2.69
5 U 0.7671 0.2500 0.8792  3 C 2.25-2.42
6 U 0.8841 0.7500 0.5896  5 C 2.28-2.54
7 B 0.1520 0.2500 0.8375  3 C 1.60-1.69
8 B 0.8480 0.7500 0.1625  3 C 1.60-1.69
9 C 0.1196 0.7500 0.3885  1 B 1.69
10 C 0.1946 0.2500 0.0975  1 B 1.65
11 C 0.3703 0.2500 0.7861  1 B 1.60
12 C 0.6297 0.7500 0.2139  1 B 1.60
13 C 0.8054 0.7500 0.9025  1 B 1.65
14 C 0.8804 0.2500 0.6115  1 B 1.69

Calculated values
Total energy: -9.80 eV/atom
Energy of formation from the pure elements: -0.056 eV per atom
Density: 13.0 Mg/m³
SG: No. 11
Density of states at the Fermi level: 17.31 states/eV/cell

V values (in Å³ per atom) by entry order: 31.15, 13.88.